Sc2TiRuPt: relaxed, PBE-GGA.

a = 4.8121 Å, b = 4.8121 Å, c = 4.3544 Å
α = 90.00°, β = 90.00°, γ = 90.00°
Closest atoms and distances in Å follow each position.
Space group P4/mmm (No. 123)
Asymmetric unit:
Sc: 0.0000 0.5000 0.0000 x2  2 Ti 2.41
Ti: 0.0000 0.0000 0.0000 x1  2 Ru 2.18, 4 Sc 2.41
Ru: 0.0000 0.0000 0.5000 x1  2 Ti 2.18
Pt: 0.5000 0.5000 0.5000 x1  8 Sc 3.24, 4 Ru 3.40

Properties
Crystal system ... tetragonal
DOS(E_F) ... 6.30 states/eV/f.u.
Energy ... -33.05 eV per formula unit
Formation energy from the elements ... 54.4 kJ per mole of atoms